# ScUNiRu | the Alexandria database | PBE-GGA | optimized geometry
# - raw total energy (eV/atom) = -8.42
# - crystal system = cubic
# - formation enthalpy at 0 K (eV per atom) = -0.25
data_ScUNiRu
_chemical_formula_sum 'Sc4 U4 Ni4 Ru4'
_cell_length_a 6.566
_cell_length_b 6.566
_cell_length_c 6.566
_cell_angle_alpha 90.00
_cell_angle_beta 90.00
_cell_angle_gamma 90.00
_symmetry_space_group_name_H-M 'F -4 3 m'
_symmetry_Int_Tables_number 216
_symmetry_space_group_name_Hall 'F -4 2 3'
loop_
_atom_site_label
_atom_site_type_symbol
_atom_site_fract_x
_atom_site_fract_y
_atom_site_fract_z
Sc1 Sc 0.000 0.000 0.000
U1 U 0.000 0.000 0.500
Ni1 Ni 0.250 0.250 0.750
Ru1 Ru 0.250 0.250 0.250

# ScVNiRu | the Alexandria database | PBE-GGA | optimized geometry
# - raw total energy (eV/atom) = -7.92
# - crystal system = cubic
# - formation enthalpy at 0 K (eV per atom) = -0.29
data_ScVNiRu
_chemical_formula_sum 'Sc4 V4 Ni4 Ru4'
_cell_length_a 6.161
_cell_length_b 6.161
_cell_length_c 6.161
_cell_angle_alpha 90.00
_cell_angle_beta 90.00
_cell_angle_gamma 90.00
_symmetry_space_group_name_H-M 'F -4 3 m'
_symmetry_Int_Tables_number 216
_symmetry_space_group_name_Hall 'F -4 2 3'
loop_
_atom_site_label
_atom_site_type_symbol
_atom_site_fract_x
_atom_site_fract_y
_atom_site_fract_z
Sc1 Sc 0.000 0.000 0.000
V1 V 0.000 0.000 0.500
Ni1 Ni 0.250 0.250 0.250
Ru1 Ru 0.250 0.250 0.750

# Sc4ZnNiRu2 | the Alexandria database | PBE-GGA | optimized geometry
# - raw total energy (eV/atom) = -6.90
# - crystal system = trigonal
# - formation enthalpy at 0 K (eV per atom) = -0.54
data_Sc4ZnNiRu2
_chemical_formula_sum 'Sc12 Zn3 Ni3 Ru6'
_cell_length_a 4.5690
_cell_length_b 4.5690
_cell_length_c 22.4110
_cell_angle_alpha 90.00
_cell_angle_beta 90.00
_cell_angle_gamma 120.00
_symmetry_space_group_name_H-M 'R -3 m'
_symmetry_Int_Tables_number 166
_symmetry_space_group_name_Hall '-R 3 2"'
loop_
_atom_site_label
_atom_site_type_symbol
_atom_site_fract_x
_atom_site_fract_y
_atom_site_fract_z
Sc1 Sc 0.0000 0.0000 0.1218
Sc2 Sc 0.0000 0.0000 0.3726
Zn1 Zn 0.0000 0.0000 0.5000
Ni1 Ni 0.0000 0.0000 0.0000
Ru1 Ru 0.0000 0.0000 0.2493

# ScZnNiRu | the Alexandria database | PBE-GGA | optimized geometry
# - raw total energy (eV/atom) = -5.98
# - crystal system = cubic
# - formation enthalpy at 0 K (eV per atom) = -0.32
# - ΔE to the lowest computed polymorph (kJ/mol of atoms) = 5.5
data_ScZnNiRu
_chemical_formula_sum 'Sc4 Zn4 Ni4 Ru4'
_cell_length_a 6.155
_cell_length_b 6.155
_cell_length_c 6.155
_cell_angle_alpha 90.00
_cell_angle_beta 90.00
_cell_angle_gamma 90.00
_symmetry_space_group_name_H-M 'F -4 3 m'
_symmetry_Int_Tables_number 216
_symmetry_space_group_name_Hall 'F -4 2 3'
loop_
_atom_site_label
_atom_site_type_symbol
_atom_site_fract_x
_atom_site_fract_y
_atom_site_fract_z
Sc1 Sc 0.000 0.000 0.000
Zn1 Zn 0.000 0.000 0.500
Ni1 Ni 0.250 0.250 0.250
Ru1 Ru 0.250 0.250 0.750

# ScZnNiRu | the Alexandria database | PBE-GGA | optimized geometry
# - raw total energy (eV/atom) = -6.04
# - crystal system = orthorhombic
# - formation enthalpy at 0 K (eV per atom) = -0.38
# - ΔE to the lowest computed polymorph (kJ/mol of atoms) = 0.0
data_ScZnNiRu
_chemical_formula_sum 'Sc1 Zn1 Ni1 Ru1'
_cell_length_a 3.321
_cell_length_b 4.154
_cell_length_c 4.191
_cell_angle_alpha 90.00
_cell_angle_beta 90.00
_cell_angle_gamma 90.00
_symmetry_space_group_name_H-M 'P m m m'
_symmetry_Int_Tables_number 47
_symmetry_space_group_name_Hall '-P 2 2'
loop_
_atom_site_label
_atom_site_type_symbol
_atom_site_fract_x
_atom_site_fract_y
_atom_site_fract_z
Sc1 Sc 0.000 0.000 0.000
Zn1 Zn 0.000 0.500 0.500
Ni1 Ni 0.500 0.000 0.500
Ru1 Ru 0.500 0.500 0.000

# Sc2Zn5NiRu2 | the Alexandria database | PBE-GGA | optimized geometry
# - raw total energy (eV/atom) = -4.54
# - crystal system = tetragonal
# - formation enthalpy at 0 K (eV per atom) = -0.20
data_Sc2Zn5NiRu2
_chemical_formula_sum 'Sc4 Zn10 Ni2 Ru4'
_cell_length_a 9.089
_cell_length_b 9.089
_cell_length_c 3.863
_cell_angle_alpha 90.00
_cell_angle_beta 90.00
_cell_angle_gamma 90.00
_symmetry_space_group_name_H-M 'P 4/m b m'
_symmetry_Int_Tables_number 127
_symmetry_space_group_name_Hall '-P 4 2ab'
loop_
_atom_site_label
_atom_site_type_symbol
_atom_site_fract_x
_atom_site_fract_y
_atom_site_fract_z
Sc1 Sc 0.173 0.327 0.000
Zn1 Zn 0.000 0.500 0.500
Zn2 Zn 0.057 0.808 0.500
Ni1 Ni 0.000 0.000 0.000
Ru1 Ru 0.131 0.631 0.000

# ZrScNiRu | the Alexandria database | PBE-GGA | optimized geometry
# - raw total energy (eV/atom) = -8.02
# - crystal system = orthorhombic
# - formation enthalpy at 0 K (eV per atom) = -0.54
data_ZrScNiRu
_chemical_formula_sum 'Zr1 Sc1 Ni1 Ru1'
_cell_length_a 3.237
_cell_length_b 4.538
_cell_length_c 4.573
_cell_angle_alpha 90.00
_cell_angle_beta 90.00
_cell_angle_gamma 90.00
_symmetry_space_group_name_H-M 'P m m m'
_symmetry_Int_Tables_number 47
_symmetry_space_group_name_Hall '-P 2 2'
loop_
_atom_site_label
_atom_site_type_symbol
_atom_site_fract_x
_atom_site_fract_y
_atom_site_fract_z
Zr1 Zr 0.000 0.000 0.000
Sc1 Sc 0.000 0.500 0.500
Ni1 Ni 0.500 0.000 0.500
Ru1 Ru 0.500 0.500 0.000

# ZrScNiRu | the Alexandria database | PBE-GGA | optimized geometry
# - raw total energy (eV/atom) = -8.02
# - crystal system = cubic
# - formation enthalpy at 0 K (eV per atom) = -0.54
data_ZrScNiRu
_chemical_formula_sum 'Zr4 Sc4 Ni4 Ru4'
_cell_length_a 6.456
_cell_length_b 6.456
_cell_length_c 6.456
_cell_angle_alpha 90.00
_cell_angle_beta 90.00
_cell_angle_gamma 90.00
_symmetry_space_group_name_H-M 'F -4 3 m'
_symmetry_Int_Tables_number 216
_symmetry_space_group_name_Hall 'F -4 2 3'
loop_
_atom_site_label
_atom_site_type_symbol
_atom_site_fract_x
_atom_site_fract_y
_atom_site_fract_z
Zr1 Zr 0.000 0.000 0.000
Sc1 Sc 0.000 0.000 0.500
Ni1 Ni 0.250 0.250 0.250
Ru1 Ru 0.250 0.250 0.750

# NiRu2Se | the Alexandria database | PBE-GGA | optimized geometry
# - raw total energy (eV/atom) = -6.67
# - crystal system = monoclinic
# - raw formation energy (eV/f.u.) = 1.130
data_NiRu2Se
_chemical_formula_sum 'Ni2 Ru4 Se2'
_cell_length_a 8.626
_cell_length_b 2.912
_cell_length_c 4.522
_cell_angle_alpha 90.00
_cell_angle_beta 94.97
_cell_angle_gamma 90.00
_symmetry_space_group_name_H-M 'C 1 m 1'
_symmetry_Int_Tables_number 8
_symmetry_space_group_name_Hall 'C -2y'
loop_
_atom_site_label
_atom_site_type_symbol
_atom_site_fract_x
_atom_site_fract_y
_atom_site_fract_z
Ni1 Ni 0.000 0.000 0.000
Ru1 Ru 0.026 0.500 0.518
Ru2 Ru 0.263 0.000 0.752
Se1 Se 0.257 0.500 0.201

# NiRu2Se | the Alexandria database | PBE-GGA | optimized geometry
# - raw total energy (eV/atom) = -6.50
# - crystal system = cubic
# - raw formation energy (eV/f.u.) = 1.837
data_NiRu2Se
_chemical_formula_sum 'Ni4 Ru8 Se4'
_cell_length_a 6.090
_cell_length_b 6.090
_cell_length_c 6.090
_cell_angle_alpha 90.00
_cell_angle_beta 90.00
_cell_angle_gamma 90.00
_symmetry_space_group_name_H-M 'F -4 3 m'
_symmetry_Int_Tables_number 216
_symmetry_space_group_name_Hall 'F -4 2 3'
loop_
_atom_site_label
_atom_site_type_symbol
_atom_site_fract_x
_atom_site_fract_y
_atom_site_fract_z
Ni1 Ni 0.000 0.000 0.000
Ru1 Ru 0.000 0.000 0.500
Ru2 Ru 0.250 0.250 0.750
Se1 Se 0.250 0.250 0.250

# NiRu2Se | the Alexandria database | PBE-GGA | optimized geometry
# - raw total energy (eV/atom) = -6.71
# - crystal system = tetragonal
# - raw formation energy (eV/f.u.) = 0.985
data_NiRu2Se
_chemical_formula_sum 'Ni1 Ru2 Se1'
_cell_length_a 2.885
_cell_length_b 2.885
_cell_length_c 6.696
_cell_angle_alpha 90.00
_cell_angle_beta 90.00
_cell_angle_gamma 90.00
_symmetry_space_group_name_H-M 'P 4 m m'
_symmetry_Int_Tables_number 99
_symmetry_space_group_name_Hall 'P 4 -2'
loop_
_atom_site_label
_atom_site_type_symbol
_atom_site_fract_x
_atom_site_fract_y
_atom_site_fract_z
Ni1 Ni 0.000 0.000 0.000
Ru1 Ru 0.000 0.000 0.513
Ru2 Ru 0.500 0.500 0.260
Se1 Se 0.500 0.500 0.778

# NiRu2Se | the Alexandria database | PBE-GGA | optimized geometry
# - raw total energy (eV/atom) = -6.50
# - crystal system = orthorhombic
# - raw formation energy (eV/f.u.) = 1.832
data_NiRu2Se
_chemical_formula_sum 'Ni1 Ru2 Se1'
_cell_length_a 2.809
_cell_length_b 4.448
_cell_length_c 4.549
_cell_angle_alpha 90.00
_cell_angle_beta 90.00
_cell_angle_gamma 90.00
_symmetry_space_group_name_H-M 'P m m m'
_symmetry_Int_Tables_number 47
_symmetry_space_group_name_Hall '-P 2 2'
loop_
_atom_site_label
_atom_site_type_symbol
_atom_site_fract_x
_atom_site_fract_y
_atom_site_fract_z
Ni1 Ni 0.000 0.000 0.000
Ru1 Ru 0.000 0.500 0.500
Ru2 Ru 0.500 0.500 0.000
Se1 Se 0.500 0.000 0.500

# NiRu2Se | the Alexandria database | PBE-GGA | optimized geometry
# - raw total energy (eV/atom) = -6.67
# - crystal system = monoclinic
# - raw formation energy (eV/f.u.) = 1.124
data_NiRu2Se
_chemical_formula_sum 'Ni2 Ru4 Se2'
_cell_length_a 8.161
_cell_length_b 2.888
_cell_length_c 4.827
_cell_angle_alpha 90.00
_cell_angle_beta 101.07
_cell_angle_gamma 90.00
_symmetry_space_group_name_H-M 'C 1 2/m 1'
_symmetry_Int_Tables_number 12
_symmetry_space_group_name_Hall '-C 2y'
loop_
_atom_site_label
_atom_site_type_symbol
_atom_site_fract_x
_atom_site_fract_y
_atom_site_fract_z
Ni1 Ni 0.000 0.000 0.000
Ru1 Ru 0.249 0.500 0.240
Se1 Se 0.000 0.500 0.500

# NiRu2Se | the Alexandria database | PBE-GGA | optimized geometry
# - raw total energy (eV/atom) = -6.56
# - crystal system = trigonal
# - raw formation energy (eV/f.u.) = 1.567
data_NiRu2Se
_chemical_formula_sum 'Ni3 Ru6 Se3'
_cell_length_a 2.8761
_cell_length_b 2.8761
_cell_length_c 23.7983
_cell_angle_alpha 90.00
_cell_angle_beta 90.00
_cell_angle_gamma 120.00
_symmetry_space_group_name_H-M 'R -3 m'
_symmetry_Int_Tables_number 166
_symmetry_space_group_name_Hall '-R 3 2"'
loop_
_atom_site_label
_atom_site_type_symbol
_atom_site_fract_x
_atom_site_fract_y
_atom_site_fract_z
Ni1 Ni 0.0000 0.0000 0.0000
Ru1 Ru 0.0000 0.0000 0.2484
Se1 Se 0.0000 0.0000 0.5000